First-principles (PBE) data for a relaxed SmY2UO8 crystal, as listed in Alexandria via LeMat-Bulk.

**Symmetry**: Pmmm
**Crystal system**: orthorhombic
**Uncorrected energy**: -8.960 eV/atom

Unit cell a=3.9024 b=5.3611 c=7.5925 alpha=90.00 beta=90.00 gamma=90.00
Element x y z (fractional)
Sm 0.0000 0.0000 0.0000
Y 0.5000 0.5000 0.2525
Y 0.5000 0.5000 0.7475
U 0.0000 0.0000 0.5000
O 0.0000 0.2424 0.2758
O 0.0000 0.2424 0.7242
O 0.0000 0.7576 0.2758
O 0.0000 0.7576 0.7242
O 0.5000 0.2304 0.5000
O 0.5000 0.2573 0.0000
O 0.5000 0.7427 0.0000
O 0.5000 0.7696 0.5000